[1]
The following is a DFT calculation (PBE) of CaScTlGa after structural relaxation.

The structure belongs to space group F-43m (No. 216); the cell edges are 7.265, 7.265 and 7.265 Å and the angles 90.00°, 90.00° and 90.00°. The inequivalent atoms are Ca at (0.000, 0.000, 0.000), Sc at (0.000, 0.000, 0.500), Tl at (0.250, 0.250, 0.750) and Ga at (0.250, 0.250, 0.250).

The magnetization comes out at 0.00 μB per formula unit. As for the formation energy: -0.35 eV per atom. The relative energy among the computed polymorphs comes out at 0.074 eV per atom. As for the total energy: -60.454 eV for the cell shown.



[2]
The following is a DFT calculation (PBE) of CaScTlGa after structural relaxation.

The structure belongs to space group P4mm (No. 99); the cell edges are 3.604, 3.604 and 7.361 Å and the angles 90.00°, 90.00° and 90.00°. The inequivalent atoms are Ca at (0.000, 0.000, 0.000), Sc at (0.000, 0.000, 0.536), Tl at (0.500, 0.500, 0.287) and Ga at (0.500, 0.500, 0.739).

The magnetization comes out at 0.00 μB per formula unit. As for the formation energy: -0.42 eV per atom. The relative energy among the computed polymorphs comes out at 0.000 eV per atom. As for the total energy: -15.410 eV for the cell shown.



[3]
The following is a DFT calculation (PBE) of CaScZnGa after structural relaxation.

The structure belongs to space group F-43m (No. 216); the cell edges are 6.994, 6.994 and 6.994 Å and the angles 90.00°, 90.00° and 90.00°. The inequivalent atoms are Ca at (0.000, 0.000, 0.000), Sc at (0.000, 0.000, 0.500), Zn at (0.250, 0.250, 0.250) and Ga at (0.250, 0.250, 0.750).

The magnetization comes out at 0.00 μB per formula unit. As for the formation energy: -0.37 eV per atom. As for the total energy: -56.490 eV for the cell shown.



[4]
The following is a DFT calculation (PBE) of CaGa2Se4 after structural relaxation.

The structure belongs to space group Fddd (No. 70, origin choice 2); the cell edges are 12.824, 21.280 and 21.365 Å and the angles 90.00°, 90.00° and 90.00°. The inequivalent atoms are Ca at (0.125, 0.125, 0.125), Ca at (0.125, 0.125, 0.373), Ca at (0.125, 0.125, 0.625), Ga at (0.085, 0.304, 0.250), Ga at (0.124, 0.261, 0.751), Se at (0.002, 0.000, 0.587), Se at (0.002, 0.000, 0.912), Se at (0.004, 0.093, 0.249) and Se at (0.017, 0.084, 0.751).

The magnetization comes out at 0.00 μB per formula unit. As for the total energy: -929.646 eV for the cell shown.



[5]
The following is a DFT calculation (PBE) of Ca3GaSe4 after structural relaxation.

The structure belongs to space group Pmn2_1 (No. 31); the cell edges are 9.940, 8.601 and 5.833 Å and the angles 90.00°, 90.00° and 90.00°. The inequivalent atoms are Ca at (0.000, 0.160, 0.000), Ca at (0.247, 0.333, 0.500), Ga at (0.000, 0.829, 0.469), Se at (0.000, 0.150, 0.500), Se at (0.000, 0.827, 0.013) and Se at (0.244, 0.672, 0.501).

The magnetization comes out at 0.00 μB per formula unit. As for the total energy: -69.366 eV for the cell shown.



[6]
The following is a DFT calculation (PBE) of CaGaSe after structural relaxation.

The structure belongs to space group R-3m (No. 166, hexagonal axes); the cell edges are 4.7803, 4.7803 and 24.5634 Å and the angles 90.00°, 90.00° and 120.00°. The inequivalent atoms are Ca at (0.0000, 0.0000, 0.0905), Ga at (0.0000, 0.0000, 0.3267) and Se at (0.0000, 0.0000, 0.2198).

The magnetization comes out at 0.00 μB per formula unit. As for the total energy: -70.618 eV for the cell shown.